SrHgPb: relaxed, PBE.

a b c (Å): 8.8095 8.8095 8.8095
angles (deg): 36.42 36.42 36.42
With the nearest neighbours (Å) after each atom.
Fractional positions:
Sr  0.0834  0.0834  0.0834  4 Hg 3.28, 3 Pb 3.58
Sr  0.9166  0.9166  0.9166  4 Hg 3.28, 3 Pb 3.58
Hg  0.2166  0.2166  0.2166  4 Sr 3.28, 1 Pb 3.29
Hg  0.7834  0.7834  0.7834  4 Sr 3.28, 1 Pb 3.29
Pb  0.3502  0.3502  0.3502  3 Pb 3.29, 1 Hg 3.29, 3 Sr 3.58
Pb  0.6498  0.6498  0.6498  3 Pb 3.29, 1 Hg 3.29, 3 Sr 3.58

Calculated values
space-group type = R-3m
energy of formation from the pure elements = -0.324 eV per atom